Compound: NaCa2B9H8O20
Source: the Alexandria database
Functional: PBE
Structure: relaxed

abc: 11.5710 12.6110 10.7458
angles: 90.00 99.31 90.00
Fractional coordinates of all 160 atoms:
Na 0.0068 0.1442 0.4663
Na 0.0068 0.3558 0.9663
Na 0.9932 0.6442 0.0337
Na 0.9932 0.8558 0.5337
Ca 0.1575 0.1005 0.1338
Ca 0.1575 0.3995 0.6338
Ca 0.3692 0.6289 0.5331
Ca 0.3692 0.8711 0.0331
Ca 0.6308 0.1289 0.9669
Ca 0.6308 0.3711 0.4669
Ca 0.8425 0.6005 0.3662
Ca 0.8425 0.8995 0.8662
B 0.0042 0.2358 0.7251
B 0.0042 0.2642 0.2251
B 0.0728 0.0653 0.8180
B 0.0728 0.4347 0.3180
B 0.1081 0.6247 0.4081
B 0.1081 0.8753 0.9081
B 0.1920 0.2278 0.8928
B 0.1920 0.2722 0.3928
B 0.2042 0.7142 0.2489
B 0.2042 0.7858 0.7489
B 0.3906 0.2184 0.3183
B 0.3906 0.2816 0.8183
B 0.4054 0.6704 0.2079
B 0.4054 0.8296 0.7079
B 0.4378 0.0866 0.1578
B 0.4378 0.4134 0.6578
B 0.4447 0.0225 0.6790
B 0.4447 0.4775 0.1790
B 0.5553 0.5225 0.8210
B 0.5553 0.9775 0.3210
B 0.5622 0.5866 0.3422
B 0.5622 0.9134 0.8422
B 0.5946 0.1704 0.2921
B 0.5946 0.3296 0.7921
B 0.6094 0.7184 0.1817
B 0.6094 0.7816 0.6817
B 0.7958 0.2142 0.2511
B 0.7958 0.2858 0.7511
B 0.8080 0.7278 0.6072
B 0.8080 0.7722 0.1072
B 0.8919 0.1247 0.0919
B 0.8919 0.3753 0.5919
B 0.9272 0.5653 0.6820
B 0.9272 0.9347 0.1820
B 0.9958 0.7358 0.7749
B 0.9958 0.7642 0.2749
H 0.1245 0.5611 0.8163
H 0.1245 0.9389 0.3163
H 0.1282 0.6448 0.5990
H 0.1282 0.8552 0.0990
H 0.1344 0.0332 0.6225
H 0.1344 0.4668 0.1225
H 0.2315 0.5006 0.8883
H 0.2315 0.9994 0.3883
H 0.2351 0.5408 0.0905
H 0.2351 0.9592 0.5905
H 0.2682 0.1849 0.5477
H 0.2682 0.3151 0.0477
H 0.3590 0.1168 0.9706
H 0.3590 0.3832 0.4706
H 0.4705 0.1736 0.6336
H 0.4705 0.3264 0.1336
H 0.5295 0.6736 0.8664
H 0.5295 0.8264 0.3664
H 0.6410 0.6168 0.5294
H 0.6410 0.8832 0.0294
H 0.7318 0.6849 0.9523
H 0.7318 0.8151 0.4523
H 0.7649 0.0408 0.4095
H 0.7649 0.4592 0.9095
H 0.7685 0.0006 0.6117
H 0.7685 0.4994 0.1117
H 0.8656 0.5332 0.8775
H 0.8656 0.9668 0.3775
H 0.8718 0.1448 0.9010
H 0.8718 0.3552 0.4010
H 0.8755 0.0611 0.6837
H 0.8755 0.4389 0.1837
O 0.0206 0.1183 0.7091
O 0.0206 0.3817 0.2091
O 0.0267 0.7141 0.3982
O 0.0267 0.7859 0.8982
O 0.0438 0.5386 0.3305
O 0.0438 0.9614 0.8305
O 0.0958 0.7449 0.6992
O 0.0958 0.7551 0.1992
O 0.1117 0.2166 0.2950
O 0.1117 0.2834 0.7950
O 0.1479 0.1175 0.9089
O 0.1479 0.3825 0.4089
O 0.1485 0.5900 0.5394
O 0.1485 0.9100 0.0394
O 0.1504 0.5220 0.0635
O 0.1504 0.9780 0.5635
O 0.1950 0.2234 0.5188
O 0.1950 0.2766 0.0188
O 0.1995 0.5275 0.8049
O 0.1995 0.9725 0.3049
O 0.2167 0.6531 0.3566
O 0.2167 0.8469 0.8566
O 0.2982 0.7346 0.1885
O 0.2982 0.7654 0.6885
O 0.3144 0.2178 0.8691
O 0.3144 0.2822 0.3691
O 0.3523 0.1434 0.2274
O 0.3523 0.3566 0.7274
O 0.3787 0.5661 0.1414
O 0.3787 0.9339 0.6414
O 0.3814 0.0576 0.0312
O 0.3814 0.4424 0.5312
O 0.4157 0.1150 0.6106
O 0.4157 0.3850 0.1106
O 0.4579 0.6529 0.3402
O 0.4579 0.8471 0.8402
O 0.4662 0.5196 0.7194
O 0.4662 0.9804 0.2194
O 0.4900 0.7331 0.1429
O 0.4900 0.7669 0.6429
O 0.5100 0.2331 0.3571
O 0.5100 0.2669 0.8571
O 0.5338 0.0196 0.7806
O 0.5338 0.4804 0.2806
O 0.5421 0.1529 0.1598
O 0.5421 0.3471 0.6598
O 0.5843 0.6150 0.8894
O 0.5843 0.8850 0.3894
O 0.6186 0.5576 0.4688
O 0.6186 0.9424 0.9688
O 0.6213 0.0661 0.3586
O 0.6213 0.4339 0.8586
O 0.6477 0.6434 0.2726
O 0.6477 0.8566 0.7726
O 0.6856 0.7178 0.6309
O 0.6856 0.7822 0.1309
O 0.7018 0.2346 0.3115
O 0.7018 0.2653 0.8115
O 0.7833 0.1531 0.1434
O 0.7833 0.3469 0.6434
O 0.8005 0.0275 0.6951
O 0.8005 0.4725 0.1951
O 0.8050 0.7234 0.9812
O 0.8050 0.7766 0.4812
O 0.8496 0.0220 0.4365
O 0.8496 0.4780 0.9365
O 0.8515 0.0900 0.9606
O 0.8515 0.4100 0.4606
O 0.8521 0.6175 0.5911
O 0.8521 0.8825 0.0911
O 0.8883 0.7166 0.2050
O 0.8883 0.7834 0.7050
O 0.9042 0.2449 0.8008
O 0.9042 0.2551 0.3008
O 0.9562 0.0386 0.1695
O 0.9562 0.4614 0.6695
O 0.9733 0.2141 0.1017
O 0.9733 0.2859 0.6018
O 0.9794 0.6183 0.7909
O 0.9794 0.8817 0.2909

Properties
Its theoretical density is 2.3 g/cm3. As for the calculated volume: 9.67 Å³/atom. The calculation puts the total energy at -1106.02 eV for the cell shown.